Density functional theory data (PBE) for a geometry-optimized TbGa3NiOs structure.

Results
uncorrected energy = -5.3531 eV per atom
magnetic moment = 0.0 Bohr magnetons per cell
crystal system = orthorhombic
SG = Cmcm

a = 6.5245 Å, b = 6.5245 Å, c = 5.6059 Å
α = 90.00°, β = 90.00°, γ = 107.49°
With the nearest neighbours (Å) after each atom.
Sites, in units of the cell vectors:
Tb 0.2084 0.7916 0.7500  1 Ni 2.75, 2 Ga 3.00, 1 Os 3.05
Tb 0.7916 0.2084 0.2500  1 Ni 2.75, 2 Ga 3.00, 1 Os 3.05
Ga 0.2495 0.2495 0.0000  2 Ni 2.41, 2 Os 2.53
Ga 0.2495 0.2495 0.5000  2 Ni 2.41, 2 Os 2.53
Ga 0.3105 0.6895 0.2500  1 Ni 2.31, 1 Os 2.41
Ga 0.6895 0.3105 0.7500  1 Ni 2.31, 1 Os 2.41
Ga 0.7505 0.7505 0.0000  2 Ni 2.41, 2 Os 2.53
Ga 0.7505 0.7505 0.5000  2 Ni 2.41, 2 Os 2.53
Ni 0.4697 0.5303 0.7500  5 Ga 2.31-2.41
Ni 0.5303 0.4697 0.2500  5 Ga 2.31-2.41
Os 0.0817 0.9183 0.2500  5 Ga 2.41-2.53
Os 0.9183 0.0817 0.7500  5 Ga 2.41-2.53